1.
## FeRePb2 (PBE)

Data for crystalline FeRePb2 at its relaxed geometry.

Summary:
Formation energy: 1067 meV per atom
SG: No. 119

abc: 5.453 5.453 5.453
angles: 135.46 135.46 64.82
Last column: magnetic moment on the atom in μB.
Atoms (fractional coordinates):
1 Fe 0.750 0.250 0.500  2.78
2 Pb 0.000 0.000 0.000  -0.03
3 Pb 0.250 0.750 0.500  -0.02
4 Re 0.500 0.500 0.000  0.70

2.
## FeRePb2 (PBE)

Data for crystalline FeRePb2 at its relaxed geometry.

Summary:
Formation energy: 1487 meV per atom
SG: No. 122

abc: 7.493 7.493 6.069
angles: 51.88 51.88 90.00
Last column: magnetic moment on the atom in μB.
Atoms (fractional coordinates):
1 Pb 0.600 0.125 0.250  -0.01
2 Pb 0.150 0.625 0.250  -0.01
3 Pb 0.375 0.400 0.750  -0.01
4 Pb 0.875 0.850 0.750  -0.01
5 Re 0.000 0.000 0.000  1.74
6 Re 0.750 0.250 0.500  1.74
7 Fe 0.500 0.500 0.000  -0.21
8 Fe 0.250 0.750 0.500  -0.21

3.
## FeRePb2 (PBE)

Data for crystalline FeRePb2 at its relaxed geometry.

Summary:
Formation energy: 444 meV per atom
SG: No. 6

abc: 3.120 3.122 9.406
angles: 70.50 90.00 90.00
Last column: magnetic moment on the atom in μB.
Atoms (fractional coordinates):
1 Fe 0.500 0.801 0.699  2.01
2 Pb 0.000 0.072 0.925  -0.01
3 Pb 0.500 0.188 0.315  0.01
4 Re 0.000 0.439 0.561  0.01

4.
## FeRe3Pb (PBE)

Data for crystalline FeRe3Pb at its relaxed geometry.

Summary:
Formation energy: 1591 meV per atom
SG: No. 221

abc: 4.517 4.517 4.517
angles: 90.00 90.00 90.00
Last column: magnetic moment on the atom in μB.
Atoms (fractional coordinates):
1 Pb 0.500 0.500 0.500  0.02
2 Re 0.000 0.500 0.000  0.44
3 Re 0.000 0.000 0.500  0.55
4 Re 0.500 0.000 0.000  0.42
5 Fe 0.000 0.000 0.000  -0.18

5.
## FeRePb2 (PBE)

Data for crystalline FeRePb2 at its relaxed geometry.

Summary:
Formation energy: 986 meV per atom
SG: No. 166

abc: 8.989 8.989 8.989
angles: 20.69 20.69 20.69
Last column: magnetic moment on the atom in μB.
Atoms (fractional coordinates):
1 Fe 0.750 0.750 0.750  2.72
2 Pb 0.001 0.001 0.001  0.00
3 Pb 0.499 0.499 0.499  0.00
4 Re 0.250 0.250 0.250  0.35

6.
## FeRePb2 (PBE)

Data for crystalline FeRePb2 at its relaxed geometry.

Summary:
Formation energy: 1079 meV per atom
SG: No. 65

abc: 3.160 3.160 8.957
angles: 90.00 90.00 115.40
Last column: magnetic moment on the atom in μB.
Atoms (fractional coordinates):
1 Fe 0.500 0.500 0.750  2.66
2 Pb 0.000 0.000 0.997  -0.01
3 Pb 0.000 0.000 0.503  -0.01
4 Re 0.500 0.500 0.250  0.05